! HoCoB3 PBE-GGA optimized geometry; values from VASP
&SYSTEM
  ibrav = 0, nat = 10, ntyp = 3
/
ATOMIC_SPECIES
Ho 164.93 Ho.upf
Co 58.93 Co.upf
B 10.81 B.upf
CELL_PARAMETERS angstrom
1.5225 -7.7787 0.0000
1.5225 7.7787 0.0000
0.0000 0.0000 4.5425
ATOMIC_POSITIONS crystal
Ho 0.0784 0.9216 0.7500
Ho 0.9216 0.0784 0.2500
Co 0.3916 0.6084 0.7500
Co 0.6084 0.3916 0.2500
B 0.1936 0.8064 0.2500
B 0.2887 0.7113 0.0457
B 0.2887 0.7113 0.4543
B 0.7113 0.2887 0.5457
B 0.7113 0.2887 0.9543
B 0.8064 0.1936 0.7500
! polymorph energy (0 for the lowest one)	259.3	meV/atom
! formation energy	-0.099	eV per atom
! space-group type	Cmcm, No. 63

! AcHfGe PBE-GGA optimized geometry; values from VASP
&SYSTEM
  ibrav = 0, nat = 6, ntyp = 3
/
ATOMIC_SPECIES
Ac 227.00 Ac.upf
Hf 178.49 Hf.upf
Ge 72.64 Ge.upf
CELL_PARAMETERS angstrom
4.3653 0.0000 0.0000
0.0000 4.3653 0.0000
0.0000 0.0000 8.5619
ATOMIC_POSITIONS crystal
Ac 0.2500 0.2500 0.1529
Ac 0.7500 0.7500 0.8471
Hf 0.2500 0.7500 0.5000
Hf 0.7500 0.2500 0.5000
Ge 0.2500 0.2500 0.7179
Ge 0.7500 0.7500 0.2821
! formation energy	-0.515	eV per atom
! space-group type	P4/nmm, No. 129

! AuBr2Cl PBE-GGA optimized geometry; values from VASP
&SYSTEM
  ibrav = 0, nat = 4, ntyp = 3
/
ATOMIC_SPECIES
Au 196.97 Au.upf
Br 79.90 Br.upf
Cl 35.45 Cl.upf
CELL_PARAMETERS angstrom
0.0000 3.5560 3.5560
3.5560 0.0000 3.5560
3.5560 3.5560 0.0000
ATOMIC_POSITIONS crystal
Au 0.0000 0.0000 0.0000
Br 0.2500 0.2500 0.2500
Br 0.7500 0.7500 0.7500
Cl 0.5000 0.5000 0.5000
! polymorph energy (0 for the lowest one)	723.4	meV/atom
! space-group type	Fm-3m, No. 225

! LaIn2Au PBE-GGA optimized geometry; values from VASP
&SYSTEM
  ibrav = 0, nat = 4, ntyp = 3
/
ATOMIC_SPECIES
La 138.91 La.upf
In 114.82 In.upf
Au 196.97 Au.upf
CELL_PARAMETERS angstrom
-2.1979 2.1979 5.6537
2.1979 -2.1979 5.6537
2.1979 2.1979 -5.6537
ATOMIC_POSITIONS crystal
La 0.0000 0.0000 0.0000
In 0.2500 0.7500 0.5000
In 0.7500 0.2500 0.5000
Au 0.5000 0.5000 0.0000
! formation energy	-0.339	eV per atom
! space-group type	I4/mmm, No. 139

! TlSb4Pt PBE-GGA optimized geometry; values from VASP
&SYSTEM
  ibrav = 0, nat = 6, ntyp = 3
/
ATOMIC_SPECIES
Tl 204.38 Tl.upf
Sb 121.76 Sb.upf
Pt 195.08 Pt.upf
CELL_PARAMETERS angstrom
0.0000 4.3704 4.3704
4.3704 0.0000 4.3704
4.3704 4.3704 0.0000
ATOMIC_POSITIONS crystal
Tl 0.0000 0.0000 0.0000
Sb 0.3746 0.3746 0.3746
Sb 0.3746 0.3746 0.8761
Sb 0.3746 0.8761 0.3746
Sb 0.8761 0.3746 0.3746
Pt 0.7500 0.7500 0.7500
! space-group type	F-43m, No. 216
! total energy	-3.658	eV per atom

! Na2Ca2Sc PBE-GGA optimized geometry; values from VASP
&SYSTEM
  ibrav = 0, nat = 10, ntyp = 3
/
ATOMIC_SPECIES
Na 22.99 Na.upf
Ca 40.08 Ca.upf
Sc 44.96 Sc.upf
CELL_PARAMETERS angstrom
9.6689 0.0000 0.0000
0.0000 9.6689 0.0000
0.0000 0.0000 3.7415
ATOMIC_POSITIONS crystal
Na 0.1596 0.3404 0.0000
Na 0.3404 0.8404 0.0000
Na 0.6596 0.1596 0.0000
Na 0.8404 0.6596 0.0000
Ca 0.1430 0.6430 0.5000
Ca 0.3570 0.1430 0.5000
Ca 0.6430 0.8570 0.5000
Ca 0.8570 0.3570 0.5000
Sc 0.0000 0.0000 0.5000
Sc 0.5000 0.5000 0.5000
! polymorph energy (0 for the lowest one)	119.8	meV/atom
! formation energy	0.415	eV per atom
! space-group type	P4/mbm, No. 127

! Fe2RhW PBE-GGA optimized geometry; values from VASP
&SYSTEM
  ibrav = 0, nat = 4, ntyp = 3
/
ATOMIC_SPECIES
Fe 55.84 Fe.upf
Rh 102.91 Rh.upf
W 183.84 W.upf
CELL_PARAMETERS angstrom
2.6477 0.0000 0.0000
0.0000 4.2273 0.0000
-0.9353 0.0000 4.8961
ATOMIC_POSITIONS crystal
Fe 0.2399 0.0000 0.2554
Fe 0.7601 0.0000 0.7446
Rh 0.5000 0.5000 0.0000
W 0.0000 0.5000 0.5000
! polymorph energy (0 for the lowest one)	125.4	meV/atom
! formation energy	0.118	eV per atom
! space-group type	P2/m, No. 10

! PmZnRu4 PBE-GGA optimized geometry; values from VASP
&SYSTEM
  ibrav = 0, nat = 6, ntyp = 3
/
ATOMIC_SPECIES
Pm 145.00 Pm.upf
Zn 65.41 Zn.upf
Ru 101.07 Ru.upf
CELL_PARAMETERS angstrom
0.0000 3.7196 3.7196
3.7196 0.0000 3.7196
3.7196 3.7196 0.0000
ATOMIC_POSITIONS crystal
Pm 0.0000 0.0000 0.0000
Zn 0.2500 0.2500 0.2500
Ru 0.1275 0.6242 0.6242
Ru 0.6242 0.1275 0.6242
Ru 0.6242 0.6242 0.1275
Ru 0.6242 0.6242 0.6242
! formation energy	0.106	eV per atom
! space-group type	F-43m, No. 216

no.,V (Å³ per atom)
1,10.759
2,27.192
3,22.483
4,27.311
5,27.825
6,34.979
7,13.700
8,17.154